5
Lattice="5.728 0.000 0.000 0.000 5.728 0.000 0.000 0.000 5.641" Properties=species:S:1:pos:R:3 comment="SrLiS2Cl (PBE-GGA, relaxed)" polymorph_energy_mev_per_atom=471 dos_ef_per_ev_atom=1.106 magmom_total_mub_per_fu=2.0 pbc="T T T"
Sr 0.000 0.000 0.000
Li 2.864 2.864 2.820
Cl 0.000 0.000 2.820
S 0.000 2.864 0.000
S 2.864 0.000 0.000